Below is a relaxed structure of Fe3O4F2, with properties calculated at the PBE with a Hubbard U level.

```
18
Lattice="9.227 0.000 0.000 0.000 4.659 0.000 0.000 0.000 4.653" Properties=species:S:1:pos:R:3 pbc="T T T"
Fe 0.000 1.130 0.000
Fe 1.464 3.631 2.173
Fe 3.149 1.028 4.500
Fe 4.613 3.529 2.327
Fe 6.078 1.028 4.500
Fe 7.762 3.631 2.173
O 0.000 2.622 1.304
O 0.000 4.486 3.147
O 1.574 0.303 0.762
O 3.040 4.356 3.089
O 4.613 0.173 0.820
O 4.613 2.037 3.631
O 6.187 4.356 3.089
O 7.653 0.303 0.762
F 1.552 2.107 3.609
F 3.061 2.551 1.283
F 6.166 2.551 1.283
F 7.674 2.107 3.609
```

Properties
Size of the total moment in μB/f.u.: 14.022
Polymorph energy (0 for the lowest one) in meV per atom: 41
SG: Pmn2_1
Energy in eV/atom: -6.056
DOS(E_F) in states/eV per cell: 8.51